1.
Here is a relaxed structure of ReHg2ClO from Alexandria. Energies are from PBE.

Calculated values
The raw total energy comes out at -0.19946 Ry per atom. Its space group is No. 123. For the energy above the most stable polymorph in this dataset, the calculation gives 0.000 eV per formula unit. The formation energy from raw total energies is 1.26 eV/atom.

Cell lengths 4.8483, 4.2890, 4.8483 Å; angles 90.00, 90.00, 90.00 degrees
Fractional positions:
1 Re 0.5000 0.5000 0.5000
2 Hg 0.0000 0.0000 0.5000
3 Hg 0.5000 0.0000 0.0000
4 O 0.0000 0.0000 0.0000
5 Cl 0.0000 0.5000 0.0000

---

2.
Here is a relaxed structure of ReHg2ClO from Alexandria. Energies are from PBE.

Calculated values
The raw total energy comes out at -0.16614 Ry per atom. Its space group is No. 123. For the energy above the most stable polymorph in this dataset, the calculation gives 2.267 eV per formula unit. The formation energy from raw total energies is 1.71 eV/atom.

Cell lengths 6.1458, 4.4522, 6.1458 Å; angles 90.00, 90.00, 90.00 degrees
Fractional positions:
1 Re 0.0000 0.5000 0.0000
2 Hg 0.0000 0.0000 0.5000
3 Hg 0.5000 0.0000 0.0000
4 O 0.5000 0.5000 0.5000
5 Cl 0.0000 0.0000 0.0000

---

3.
Here is a relaxed structure of ReHgCl2O from Alexandria. Energies are from PBE.

Calculated values
The raw total energy comes out at -0.20195 Ry per atom. Its space group is No. 123. The formation energy from raw total energies is 1.53 eV/atom.

Cell lengths 5.1390, 5.7002, 5.1390 Å; angles 90.00, 90.00, 90.00 degrees
Fractional positions:
1 Re 0.0000 0.5000 0.0000
2 Hg 0.0000 0.0000 0.0000
3 O 0.5000 0.5000 0.5000
4 Cl 0.0000 0.0000 0.5000
5 Cl 0.5000 0.0000 0.0000

---

4.
Here is a relaxed structure of HgRuClO4 from Alexandria. Energies are from PBE.

Calculated values
The raw total energy comes out at -0.36812 Ry per atom. Its space group is No. 12. The formation energy from raw total energies is -0.54 eV/atom.

Cell lengths 6.3378, 6.3378, 8.4272 Å; angles 80.33, 80.33, 83.15 degrees
Fractional positions:
1 Hg 0.1977 0.1977 0.9508
2 Hg 0.8023 0.8023 0.0492
3 Ru 0.6109 0.6109 0.7569
4 Ru 0.3891 0.3891 0.2431
5 Cl 0.9905 0.9905 0.2195
6 Cl 0.0095 0.0095 0.7805
7 O 0.2842 0.2842 0.4362
8 O 0.7158 0.7158 0.5638
9 O 0.1825 0.4967 0.1282
10 O 0.5764 0.5764 0.2315
11 O 0.5033 0.8175 0.8718
12 O 0.4967 0.1825 0.1282
13 O 0.4236 0.4236 0.7685
14 O 0.8175 0.5033 0.8718

---

5.
Here is a relaxed structure of HgS2ClO from Alexandria. Energies are from PBE.

Calculated values
The raw total energy comes out at -0.17315 Ry per atom. Its space group is No. 123. For the energy above the most stable polymorph in this dataset, the calculation gives 0.000 eV per formula unit. The formation energy from raw total energies is 0.72 eV/atom.

Cell lengths 4.3198, 4.3198, 4.7021 Å; angles 90.00, 90.00, 90.00 degrees
Fractional positions:
1 S 0.0000 0.5000 0.0000
2 S 0.5000 0.0000 0.0000
3 Hg 0.5000 0.5000 0.5000
4 O 0.0000 0.0000 0.0000
5 Cl 0.0000 0.0000 0.5000

---

6.
Here is a relaxed structure of Hg2SClO from Alexandria. Energies are from PBE.

Calculated values
The raw total energy comes out at -0.08831 Ry per atom. Its space group is No. 123. The formation energy from raw total energies is 1.11 eV/atom.

Cell lengths 5.5835, 4.5395, 5.5835 Å; angles 90.00, 90.00, 90.00 degrees
Fractional positions:
1 S 0.0000 0.5000 0.0000
2 Hg 0.0000 0.0000 0.5000
3 Hg 0.5000 0.0000 0.0000
4 O 0.5000 0.5000 0.5000
5 Cl 0.0000 0.0000 0.0000